# SmGdGe GGA-PBE relaxed
data_SmGdGe
_chemical_formula_sum 'Sm4 Gd4 Ge4'
_cell_length_a 4.464
_cell_length_b 4.464
_cell_length_c 16.329
_cell_angle_alpha 90.00
_cell_angle_beta 90.00
_cell_angle_gamma 90.00
_symmetry_space_group_name_H-M 'I 4/m m m'
_symmetry_Int_Tables_number 139
_symmetry_space_group_name_Hall '-I 4 2'
loop_
_atom_site_label
_atom_site_type_symbol
_atom_site_fract_x
_atom_site_fract_y
_atom_site_fract_z
Sm1 Sm 0.000 0.500 0.000
Gd1 Gd 0.000 0.000 0.182
Ge1 Ge 0.000 0.000 0.363
# * DFT total energy: -5.2727 eV/atom